1.
VASP calculation (PBE) on an optimized crystal structure of Pr4DyHoEr2.

Cell lengths 5.148, 5.180, 10.023 Å; angles 90.00, 90.01, 90.00 degrees
Atoms (fractional coordinates):
Pr: 0.001 0.000 0.250
Pr: 0.499 0.500 0.750
Pr: 0.501 0.500 0.250
Pr: 0.999 0.000 0.750
Dy: 0.000 0.500 0.000
Ho: 0.500 0.000 0.500
Er: 0.000 0.500 0.500
Er: 0.500 0.000 0.000

ΔE_f ... 0.013 eV per atom
Magnetic moment ... 0.00 μB/atom

2.
VASP calculation (PBE) on an optimized crystal structure of Li3As2P.

Cell lengths 5.679, 9.304, 9.020 Å; angles 90.00, 116.67, 90.00 degrees
Atoms (fractional coordinates):
Li: 0.123 0.005 0.373
Li: 0.123 0.495 0.873
Li: 0.294 0.653 0.434
Li: 0.294 0.847 0.934
Li: 0.347 0.165 0.708
Li: 0.347 0.335 0.208
Li: 0.653 0.665 0.792
Li: 0.653 0.835 0.292
Li: 0.706 0.153 0.066
Li: 0.706 0.347 0.566
Li: 0.877 0.505 0.127
Li: 0.877 0.995 0.627
As: 0.088 0.196 0.893
As: 0.088 0.304 0.393
As: 0.293 0.049 0.151
As: 0.293 0.451 0.651
As: 0.707 0.549 0.349
As: 0.707 0.951 0.849
As: 0.912 0.696 0.607
As: 0.912 0.804 0.107
P: 0.268 0.646 0.128
P: 0.268 0.854 0.628
P: 0.732 0.146 0.372
P: 0.732 0.354 0.872

ΔE_f ... -0.374 eV per atom
Magnetic moment ... 0.00 μB/atom

3.
VASP calculation (PBE) on an optimized crystal structure of MgSnNF2.

Cell lengths 3.713, 3.713, 4.772 Å; angles 90.00, 90.00, 90.00 degrees
Atoms (fractional coordinates):
Mg: 0.000 0.000 0.000
Sn: 0.500 0.500 0.500
N: 0.000 0.000 0.500
F: 0.000 0.500 0.000
F: 0.500 0.000 0.000

Polymorph energy (0 for the lowest one) ... 0.0 meV per atom
ΔE_f (raw) ... -1.480 eV/atom
Magnetic moment ... 0.00 μB/atom

4.
VASP calculation (PBE) on an optimized crystal structure of TeCl2F.

Cell lengths 4.617, 4.617, 17.048 Å; angles 90.00, 90.00, 90.00 degrees
Atoms (fractional coordinates):
Te: 0.000 0.000 0.000
Te: 0.000 0.500 0.250
Te: 0.500 0.000 0.750
Te: 0.500 0.500 0.500
Cl: 0.228 0.250 0.125
Cl: 0.250 0.728 0.375
Cl: 0.250 0.772 0.875
Cl: 0.272 0.250 0.625
Cl: 0.728 0.750 0.625
Cl: 0.750 0.228 0.875
Cl: 0.750 0.272 0.375
Cl: 0.772 0.750 0.125
F: 0.000 0.000 0.500
F: 0.000 0.500 0.750
F: 0.500 0.000 0.250
F: 0.500 0.500 0.000

Polymorph energy (0 for the lowest one) ... 60.7 meV per atom
ΔE_f (raw) ... -0.162 eV/atom
Magnetic moment ... 0.00 μB/atom

5.
VASP calculation (PBE) on an optimized crystal structure of Dy3Er8Sc3.

Cell lengths 8.633, 8.633, 9.722 Å; angles 102.65, 102.65, 36.34 degrees
Atoms (fractional coordinates):
Dy: 0.000 0.000 0.000
Dy: 0.467 0.467 0.253
Dy: 0.533 0.533 0.747
Er: 0.118 0.118 0.314
Er: 0.167 0.167 0.735
Er: 0.240 0.240 0.096
Er: 0.326 0.326 0.490
Er: 0.674 0.674 0.510
Er: 0.760 0.760 0.904
Er: 0.833 0.833 0.265
Er: 0.882 0.882 0.686
Sc: 0.000 0.000 0.500
Sc: 0.372 0.372 0.885
Sc: 0.628 0.628 0.115

ΔE_f ... 0.126 eV per atom
Magnetic moment ... 0.00 μB/atom

6.
VASP calculation (PBE) on an optimized crystal structure of Ac2HfSb3Rh4.

Cell lengths 4.536, 4.536, 11.027 Å; angles 90.00, 90.00, 90.00 degrees
Atoms (fractional coordinates):
Ac: 0.000 0.500 0.242
Ac: 0.500 0.000 0.758
Hf: 0.000 0.000 0.500
Sb: 0.000 0.500 0.872
Sb: 0.500 0.000 0.128
Sb: 0.500 0.500 0.500
Rh: 0.000 0.000 0.000
Rh: 0.000 0.500 0.631
Rh: 0.500 0.000 0.369
Rh: 0.500 0.500 0.000

ΔE_f (raw) ... -0.864 eV/atom
Magnetic moment ... 0.00 μB/atom

7.
VASP calculation (PBE) on an optimized crystal structure of Al2ReBiRu.

Cell lengths 4.707, 4.707, 4.775 Å; angles 90.00, 90.00, 90.00 degrees
Atoms (fractional coordinates):
Al: 0.000 0.500 0.000
Al: 0.500 0.000 0.000
Re: 0.000 0.000 0.500
Bi: 0.500 0.500 0.500
Ru: 0.000 0.000 0.000

ΔE_f ... 0.629 eV per atom
Magnetic moment ... 0.08 μB/atom

8.
VASP calculation (PBE) on an optimized crystal structure of K2TaCu.

Cell lengths 6.186, 12.198, 2.817 Å; angles 90.00, 114.47, 90.00 degrees
Atoms (fractional coordinates):
K: 0.250 0.250 0.000
K: 0.250 0.750 0.000
K: 0.750 0.250 0.000
K: 0.750 0.750 0.000
Ta: 0.000 0.000 0.500
Ta: 0.500 0.500 0.500
Cu: 0.000 0.500 0.500
Cu: 0.500 0.000 0.500

ΔE_f ... 1.253 eV per atom
Polymorph energy (0 for the lowest one) ... 504.8 meV per atom
Magnetic moment ... 0.00 μB/atom

9.
VASP calculation (PBE) on an optimized crystal structure of Tl2TePbS.

Cell lengths 6.144, 6.144, 5.702 Å; angles 90.00, 90.00, 90.00 degrees
Atoms (fractional coordinates):
Tl: 0.000 0.500 0.000
Tl: 0.500 0.000 0.000
Te: 0.000 0.000 0.500
Pb: 0.000 0.000 0.000
S: 0.500 0.500 0.500

ΔE_f (raw) ... 0.527 eV/atom
Magnetic moment ... 0.15 μB/atom

10.
VASP calculation (PBE) on an optimized crystal structure of LiFeP.

Cell lengths 2.850, 2.850, 8.404 Å; angles 90.00, 90.00, 90.00 degrees
Atoms (fractional coordinates):
Li: 0.000 0.000 0.000
Li: 0.500 0.500 0.500
Fe: 0.000 0.000 0.696
Fe: 0.500 0.500 0.196
P: 0.000 0.000 0.316
P: 0.500 0.500 0.816

ΔE_f ... -0.338 eV per atom
Magnetic moment ... 0.00 μB/atom

11.
VASP calculation (PBE) on an optimized crystal structure of FeMoW2.

Cell lengths 3.175, 4.418, 8.610 Å; angles 90.00, 90.00, 90.00 degrees
Atoms (fractional coordinates):
Fe: 0.000 0.000 0.000
Fe: 0.500 0.500 0.500
Mo: 0.000 0.000 0.500
Mo: 0.500 0.500 0.000
W: 0.000 0.500 0.250
W: 0.000 0.500 0.750
W: 0.500 0.000 0.250
W: 0.500 0.000 0.750

ΔE_f ... 0.134 eV per atom
Polymorph energy (0 for the lowest one) ... 63.4 meV per atom
Magnetic moment ... 0.53 μB/atom

12.
VASP calculation (PBE) on an optimized crystal structure of LiZr3Au4.

Cell lengths 4.691, 4.691, 13.982 Å; angles 90.00, 90.00, 90.00 degrees
Atoms (fractional coordinates):
Li: 0.000 0.000 0.000
Li: 0.500 0.500 0.500
Zr: 0.000 0.000 0.241
Zr: 0.000 0.000 0.500
Zr: 0.000 0.000 0.759
Zr: 0.500 0.500 0.000
Zr: 0.500 0.500 0.259
Zr: 0.500 0.500 0.741
Au: 0.000 0.500 0.115
Au: 0.000 0.500 0.385
Au: 0.000 0.500 0.615
Au: 0.000 0.500 0.885
Au: 0.500 0.000 0.115
Au: 0.500 0.000 0.385
Au: 0.500 0.000 0.615
Au: 0.500 0.000 0.885

ΔE_f ... -0.488 eV per atom
Magnetic moment ... 0.00 μB/atom